A geometry-optimized Ce4ErGa4 structure, computed with PBE-GGA.

a b c (Å): 8.5652 8.5652 5.8799
angles (deg): 90.00 90.00 90.00
Closest atoms and distances in Å follow each position.
Atoms (fractional coordinates):
Ce 0.0993 0.8175 0.1181  1 Ce 2.83, 3 Ga 3.05-3.14, 1 Er 3.14
Ce 0.1825 0.5993 0.6181  1 Ce 2.83, 3 Ga 3.05-3.14, 1 Er 3.14
Ce 0.3175 0.9007 0.6181  1 Ce 2.83, 3 Ga 3.05-3.14, 1 Er 3.14
Ce 0.4007 0.6825 0.1181  1 Ce 2.83, 3 Ga 3.05-3.14, 1 Er 3.14
Ce 0.5993 0.3175 0.8819  1 Ce 2.83, 3 Ga 3.05-3.14, 1 Er 3.14
Ce 0.6825 0.0993 0.3819  1 Ce 2.83, 3 Ga 3.05-3.14, 1 Er 3.14
Ce 0.8175 0.4007 0.3819  1 Ce 2.83, 3 Ga 3.05-3.14, 1 Er 3.14
Ce 0.9007 0.1825 0.8819  1 Ce 2.83, 3 Ga 3.05-3.14, 1 Er 3.14
Er 0.2500 0.2500 0.7500  4 Ga 2.97, 4 Ce 3.14
Er 0.7500 0.7500 0.2500  4 Ga 2.97, 4 Ce 3.14
Ga 0.0593 0.1401 0.3590  3 Ga 2.96-3.09, 1 Er 2.97, 4 Ce 3.05-3.25
Ga 0.1401 0.4407 0.1410  3 Ga 2.96-3.09, 1 Er 2.97, 4 Ce 3.05-3.25
Ga 0.3599 0.0593 0.1410  3 Ga 2.96-3.09, 1 Er 2.97, 4 Ce 3.05-3.25
Ga 0.4407 0.3599 0.3590  3 Ga 2.96-3.09, 1 Er 2.97, 4 Ce 3.05-3.25
Ga 0.5593 0.6401 0.6410  3 Ga 2.96-3.09, 1 Er 2.97, 4 Ce 3.05-3.25
Ga 0.6401 0.9407 0.8590  3 Ga 2.96-3.09, 1 Er 2.97, 4 Ce 3.05-3.25
Ga 0.8599 0.5593 0.8590  3 Ga 2.96-3.09, 1 Er 2.97, 4 Ce 3.05-3.25
Ga 0.9407 0.8599 0.6410  3 Ga 2.96-3.09, 1 Er 2.97, 4 Ce 3.05-3.25

For the calculated density, the calculation gives 7.75 g/cm3. As for the size of the total moment: 0.26 μB/atom. For the density of states at the Fermi level, the calculation gives 17.799 states/eV/f.u. The space-group type is P4_2/n (86). The raw total energy is -4.753 eV/atom.